Here is crystalline Pu2ThSi2 at its relaxed geometry from the Alexandria database. Energies are from PBE-GGA.

Computed properties:
DOS at the Fermi energy: 3.55 states/eV/atom
Mass density: 11.0 Mg/m³
Crystal system: tetragonal
DFT total energy: -9.778 eV/atom

abc: 4.0911 7.5588 7.5588
angles: 90.00 90.00 90.00
With the nearest neighbours (Å) after each atom.
Sites, in units of the cell vectors:
Pu: 0.5000 0.1770 0.6770  6 Si 3.03-3.04
Pu: 0.5000 0.6770 0.8230  6 Si 3.03-3.04
Pu: 0.5000 0.8230 0.3230  6 Si 3.03-3.04
Pu: 0.5000 0.3230 0.1770  6 Si 3.03-3.04
Th: 0.0000 0.0000 0.0000  4 Si 3.05
Th: 0.0000 0.5000 0.5000  4 Si 3.05
Si: 0.0000 0.3867 0.8867  1 Si 2.42
Si: 0.0000 0.8867 0.6133  1 Si 2.42
Si: 0.0000 0.6133 0.1133  1 Si 2.42
Si: 0.0000 0.1133 0.3867  1 Si 2.42